No. 1
DFT (PBE) results for a relaxed structure of ReIrBr2.

Cell: 3.024 3.224 8.969 Å, 90.00 90.53 90.00°
Space group Pm (No. 6)
Inequivalent atoms, fractional coordinates:
Re 0.000 0.000 0.000 (multiplicity 1)
Ir 0.504 0.500 0.156 (multiplicity 1)
Br 0.511 0.000 0.387 (multiplicity 1)
Br 0.994 0.500 0.779 (multiplicity 1)

As for the distance to the lowest polymorph of the same formula: 0 meV/atom. The density of states at the Fermi level comes out at 0.335 states/eV/atom. For the energy relative to the elements, uncorrected, the calculation gives 0.250 eV/atom.

---

No. 2
DFT (PBE) results for a relaxed structure of CrInCo2.

Cell: 2.7702 2.7702 25.1330 Å, 90.00 90.00 120.00°
Space group R3m (No. 160, hexagonal axes)
Inequivalent atoms, fractional coordinates:
Cr 0.0000 0.0000 0.0000 (multiplicity 3)
In 0.0000 0.0000 0.7608 (multiplicity 3)
Co 0.0000 0.0000 0.2587 (multiplicity 3)
Co 0.0000 0.0000 0.5173 (multiplicity 3)

As for the energy of formation from the pure elements: 0.52 eV per atom. The density of states at the Fermi level comes out at 1.382 states/eV/atom.

---

Number 1: V 21.86 Å³/atom. Number 2: V 13.92 Å³/atom.